# 1
La5TcN8, relaxed, DFT GGA-PBE; formation energy (no corrections) = -0.72 eV per atom; V = 285.10 Å³/cell; electronic total energy = -7.976 eV per atom
1.0
7.183 0.127 -0.218
-2.311 6.803 0.218
-2.561 -3.377 5.805
N La Tc
8 5 1
direct
0.102 0.655 0.813
0.158 0.345 0.447
0.187 0.289 0.842
0.115 0.791 0.357
0.553 0.711 0.898
0.677 0.242 0.885
0.643 0.758 0.434
0.566 0.209 0.323
0.380 0.060 0.939
0.879 0.940 0.320
0.500 0.000 0.500
0.680 0.559 0.620
0.061 0.441 0.121
0.250 0.500 0.750

=====

# 2
Cd5AgO6, relaxed, DFT GGA-PBE; formation energy (no corrections) = -0.82 eV per atom; V = 164.43 Å³/cell; electronic total energy = -3.919 eV per atom
1.0
5.991 0.333 0.000
2.008 5.628 0.000
1.004 2.814 4.975
Ag O Cd
1 6 5
direct
0.000 0.000 0.000
0.246 0.595 0.335
0.270 0.270 0.000
0.730 0.730 0.000
0.246 0.930 0.665
0.754 0.070 0.335
0.754 0.405 0.665
0.500 0.835 0.331
0.500 0.500 0.000
0.500 0.165 0.669
0.000 0.336 0.328
0.000 0.664 0.672

=====

# 3
RbZnBiS3, relaxed, DFT GGA-PBE; formation energy (no corrections) = -0.77 eV per atom; V = 355.15 Å³/cell; electronic total energy = -3.858 eV per atom
1.0
4.071 0.000 0.000
0.000 9.371 0.922
0.000 -3.514 8.963
S Bi Rb Zn
6 2 2 2
direct
0.750 0.438 0.143
0.250 0.136 0.856
0.750 0.174 0.518
0.250 0.562 0.857
0.250 0.826 0.482
0.750 0.864 0.144
0.750 0.344 0.859
0.250 0.656 0.141
0.750 0.815 0.774
0.250 0.185 0.226
0.750 0.912 0.396
0.250 0.088 0.604

=====

# 4
AlFe6W, relaxed, DFT GGA-PBE; V = 386.65 Å³/cell; formation energy from the elements = -0.037 eV per atom; electronic total energy = -8.471 eV per atom
1.0
-3.154 -3.602 -4.114
5.633 1.465 -2.444
4.040 -8.413 4.268
Fe Al W
24 4 4
direct
0.375 0.126 0.375
0.625 0.874 0.375
0.619 0.872 0.626
0.381 0.128 0.626
0.749 0.251 0.502
0.872 0.619 0.626
0.500 0.500 0.250
0.128 0.381 0.626
0.251 0.749 0.502
0.749 0.251 0.998
0.126 0.375 0.375
0.874 0.625 0.375
0.625 0.874 0.125
0.000 0.000 0.250
0.251 0.749 0.998
0.500 0.500 0.750
0.375 0.126 0.125
0.619 0.872 0.874
0.381 0.128 0.874
0.000 0.000 0.750
0.128 0.381 0.874
0.872 0.619 0.874
0.126 0.375 0.125
0.874 0.625 0.125
0.753 0.247 0.750
0.500 0.500 0.496
0.500 0.500 0.004
0.247 0.753 0.750
0.248 0.752 0.250
0.000 0.000 0.495
0.000 0.000 0.005
0.752 0.248 0.250

=====

# 5
NdMg9Cd2, relaxed, DFT GGA-PBE; V = 567.99 Å³/cell; energy above the lowest structure with this stoichiometry = 0 meV/atom; formation energy from the elements = -0.085 eV per atom; electronic total energy = -1.831 eV per atom
1.0
7.037 0.000 3.240
3.519 8.562 1.620
-0.062 0.000 9.398
Mg Cd Nd
18 4 2
direct
0.319 0.676 0.080
0.150 0.176 0.420
0.746 0.580 0.824
0.000 0.000 0.000
0.746 0.824 0.580
0.431 0.420 0.824
0.674 0.176 0.580
0.004 0.920 0.676
0.004 0.676 0.920
0.150 0.420 0.176
0.750 0.500 0.500
0.319 0.080 0.676
0.674 0.580 0.176
0.076 0.324 0.920
0.431 0.824 0.420
0.600 0.324 0.080
0.076 0.920 0.324
0.600 0.080 0.324
0.875 0.750 0.250
0.375 0.750 0.750
0.875 0.250 0.250
0.875 0.250 0.750
0.500 0.000 0.000
0.250 0.500 0.500

=====

# 6
AcAgB2O6, relaxed, DFT GGA-PBE; formation energy (no corrections) = -2.02 eV per atom; V = 309.86 Å³/cell; electronic total energy = -7.031 eV per atom
1.0
-6.089 -0.162 3.959
4.283 -1.513 5.670
1.002 6.154 -1.214
Ag O Ac B
2 12 2 4
direct
0.020 0.980 0.250
0.980 0.020 0.750
0.146 0.153 0.584
0.299 0.441 0.338
0.053 0.620 0.806
0.153 0.146 0.084
0.559 0.701 0.162
0.854 0.847 0.416
0.620 0.053 0.306
0.701 0.559 0.662
0.380 0.947 0.694
0.947 0.380 0.194
0.847 0.854 0.916
0.441 0.299 0.838
0.370 0.630 0.750
0.630 0.370 0.250
0.661 0.875 0.291
0.339 0.125 0.709
0.875 0.661 0.791
0.125 0.339 0.209

=====

# 7
SmFeCoGe3, relaxed, DFT GGA-PBE; V = 221.50 Å³/cell; formation energy from the elements = -0.234 eV per atom; electronic total energy = -5.924 eV per atom
1.0
5.753 0.000 0.000
0.000 7.104 0.000
0.000 -3.552 5.420
Ge Co Fe Sm
6 2 2 2
direct
0.250 0.253 0.506
0.500 0.749 0.000
0.750 0.747 0.494
0.500 0.251 0.000
0.000 0.749 0.000
0.000 0.251 0.000
0.250 0.455 0.911
0.750 0.545 0.089
0.250 0.049 0.098
0.750 0.951 0.902
0.250 0.748 0.495
0.750 0.252 0.505

=====

# 8
NiAu3C, relaxed, DFT GGA-PBE; V = 77.91 Å³/cell; energy above the lowest structure with this stoichiometry = 0 meV/atom; formation energy from the elements = 0.855 eV per atom; electronic total energy = -4.112 eV per atom
1.0
4.271 0.000 0.000
0.000 4.271 0.000
0.000 0.000 4.271
Au C Ni
3 1 1
direct
0.000 0.500 0.000
0.500 0.000 0.000
0.000 0.000 0.500
0.000 0.000 0.000
0.500 0.500 0.500